An optimized crystal structure of Ba2WO, computed with PBE with a Hubbard U.

Calculated values
Space-group type: No. 122
Final energy, eV/atom: -4.436
D(E_F), states/eV/atom: 0.1360

abc: 7.8652 7.8652 7.3492
angles: 57.65 57.65 90.00
Element x y z (fractional)
Ba 0.3750 0.4840 0.7500
Ba 0.5160 0.1250 0.2500
W 0.7500 0.2500 0.5000
W 0.0000 0.0000 0.0000
O 0.5000 0.5000 0.0000
Ba 0.2340 0.6250 0.2500
Ba 0.8750 0.7660 0.7500
O 0.2500 0.7500 0.5000